--- P ---
KAsSN2 | GGA-PBE | relaxed

a = 4.0630 Å, b = 4.0630 Å, c = 5.5879 Å
α = 90.00°, β = 90.00°, γ = 90.00°
Fractional coordinates of all 5 atoms:
K1 0.0000 0.0000 0.0000
As1 0.5000 0.5000 0.0000
S1 0.0000 0.0000 0.5000
N1 0.0000 0.5000 0.5000
N2 0.5000 0.0000 0.5000

Calculated values
N(E_F) = 0.75 states/eV per atom

***

--- Q ---
KAsSN2 | GGA-PBE | relaxed

a = 4.1384 Å, b = 4.1384 Å, c = 4.9299 Å
α = 90.00°, β = 90.00°, γ = 90.00°
Fractional coordinates of all 5 atoms:
K1 0.0000 0.0000 0.0000
As1 0.5000 0.5000 0.5000
S1 0.5000 0.5000 0.0000
N1 0.0000 0.5000 0.5000
N2 0.5000 0.0000 0.5000

Calculated values
N(E_F) = 0.40 states/eV per atom

***

--- R ---
KAsSN2 | GGA-PBE | relaxed

a = 4.7888 Å, b = 4.7888 Å, c = 6.0342 Å
α = 90.00°, β = 90.00°, γ = 90.00°
Fractional coordinates of all 5 atoms:
K1 0.0000 0.0000 0.0000
As1 0.5000 0.5000 0.5000
S1 0.0000 0.0000 0.5000
N1 0.0000 0.5000 0.0000
N2 0.5000 0.0000 0.0000

Calculated values
N(E_F) = 0.44 states/eV per atom

***

Which structure is most stable? Q, by 948 meV per atom over the runner-up.

***

--- P ---
KAsS2N | GGA-PBE | relaxed

a = 5.6500 Å, b = 5.6500 Å, c = 4.8429 Å
α = 90.00°, β = 90.00°, γ = 90.00°
Fractional coordinates of all 5 atoms:
K1 0.0000 0.0000 0.0000
As1 0.5000 0.5000 0.5000
S1 0.0000 0.5000 0.0000
S2 0.5000 0.0000 0.0000
N1 0.0000 0.0000 0.5000

Calculated values
N(E_F) = 0.93 states/eV per atom

***

--- Q ---
KAsS2N | GGA-PBE | relaxed

a = 4.9838 Å, b = 4.9838 Å, c = 3.9959 Å
α = 90.00°, β = 90.00°, γ = 90.00°
Fractional coordinates of all 5 atoms:
K1 0.0000 0.0000 0.0000
As1 0.5000 0.5000 0.5000
S1 0.0000 0.5000 0.5000
S2 0.5000 0.0000 0.5000
N1 0.5000 0.5000 0.0000

Calculated values
N(E_F) = 0.54 states/eV per atom

***

Which structure is most stable? Q, by 1498 meV per atom over the runner-up.